No. 1
A relaxed structure of Sc3SbTe2, computed with PBE.

Cell: 7.224 7.214 7.214 Å, 119.89 99.65 99.65°
Element x y z (fractional)
Sc 0.003 0.186 0.344
Sc 0.503 0.344 0.186
Sc 0.000 0.500 0.000
Sc 0.997 0.814 0.656
Sc 0.500 0.000 0.500
Sc 0.497 0.656 0.814
Sb 0.250 0.587 0.413
Sb 0.750 0.413 0.587
Te 0.250 0.918 0.082
Te 0.250 0.246 0.754
Te 0.750 0.082 0.918
Te 0.750 0.754 0.246

ΔE to the lowest computed polymorph: 0.0022 eV/atom
Symmetry: C2/c
Formation energy from raw total energies: -1.077 eV per atom
N(E_F): 3.96 states/eV/f.u.

---

No. 2
A relaxed structure of ScSb3Te, computed with PBE.

Cell: 5.625 5.625 5.625 Å, 90.00 90.00 90.00°
Element x y z (fractional)
Sc 0.500 0.500 0.500
Sb 0.000 0.500 0.000
Sb 0.000 0.000 0.500
Sb 0.500 0.000 0.000
Te 0.000 0.000 0.000

ΔE to the lowest computed polymorph: 0.4352 eV/atom
Symmetry: Pm-3m
Formation energy from raw total energies: 0.705 eV per atom
N(E_F): 4.38 states/eV/f.u.

---

No. 3
A relaxed structure of Sc2Sb2Te, computed with PBE.

Cell: 4.202 4.202 8.007 Å, 74.79 74.79 90.00°
Each line ends with the local moment (μB).
Element x y z (fractional)
Sc 0.396 0.396 0.209  0.11
Sc 0.604 0.604 0.791  0.11
Sb 0.750 0.250 0.500  -0.01
Sb 0.250 0.750 0.500  -0.01
Te 0.000 0.000 0.000  -0.01

ΔE to the lowest computed polymorph: 0.0812 eV/atom
Symmetry: I4/mmm
Formation energy from raw total energies: -0.644 eV per atom
N(E_F): 2.04 states/eV/f.u.

---

No. 4
A relaxed structure of ScSb2Te, computed with PBE.

Cell: 5.337 5.337 5.333 Å, 70.27 70.27 108.94°
Element x y z (fractional)
Sb 0.000 0.000 0.000
Sb 0.500 0.500 0.000
Sc 0.500 0.000 0.500
Te 0.000 0.500 0.500

Symmetry: I4/mmm
Formation energy from raw total energies: -0.362 eV per atom
N(E_F): 0.71 states/eV/f.u.

---

No. 5
A relaxed structure of ScSbTe, computed with PBE.

Cell: 4.021 4.024 5.822 Å, 90.00 90.00 90.00°
Element x y z (fractional)
Sc 0.091 0.771 0.000
Sb 0.090 0.774 0.500
Te 0.591 0.272 0.000

Symmetry: Pmm2
Formation energy from raw total energies: -0.446 eV per atom
N(E_F): 1.65 states/eV/f.u.

---

No. 6
A relaxed structure of ScSbTe4, computed with PBE.

Cell: 6.271 6.271 6.271 Å, 60.00 60.00 60.00°
Element x y z (fractional)
Sc 0.000 0.000 0.000
Sb 0.750 0.750 0.750
Te 0.375 0.876 0.375
Te 0.876 0.375 0.375
Te 0.375 0.375 0.876
Te 0.375 0.375 0.375

ΔE to the lowest computed polymorph: 0.7779 eV/atom
Symmetry: F-43m
Formation energy from raw total energies: 0.326 eV per atom
N(E_F): 4.00 states/eV/f.u.

---

No. 7
A relaxed structure of Sc5SbTe4, computed with PBE.

Cell: 5.882 7.221 7.221 Å, 80.45 65.96 65.96°
Element x y z (fractional)
Sc 0.900 0.391 0.810
Sc 0.292 0.810 0.609
Sc 0.710 0.190 0.391
Sc 0.102 0.609 0.190
Sc 0.502 0.000 0.000
Sb 0.002 0.000 0.000
Te 0.404 0.399 0.794
Te 0.804 0.794 0.601
Te 0.198 0.206 0.399
Te 0.597 0.601 0.206

Symmetry: I4/m
Formation energy from raw total energies: -1.088 eV per atom
N(E_F): 6.70 states/eV/f.u.

---

No. 8
A relaxed structure of Sc3SbTe2, computed with PBE.

Cell: 4.161 5.879 7.236 Å, 113.97 106.71 90.00°
Element x y z (fractional)
Sc 0.841 0.341 0.182
Sc 0.159 0.659 0.818
Sc 0.500 0.000 0.500
Sb 0.500 0.500 0.500
Te 0.831 0.831 0.162
Te 0.169 0.169 0.838

ΔE to the lowest computed polymorph: 0.0000 eV/atom
Symmetry: Immm
Formation energy from raw total energies: -1.079 eV per atom
N(E_F): 3.48 states/eV/f.u.

---

No. 9
A relaxed structure of ScSbTe2, computed with PBE.

Cell: 7.703 7.703 7.703 Å, 145.70 148.13 47.52°
Element x y z (fractional)
Sb 0.750 0.250 0.500
Sc 0.250 0.750 0.500
Te 0.900 0.900 0.000
Te 0.600 0.600 0.000

Symmetry: Immm
Formation energy from raw total energies: -0.555 eV per atom
N(E_F): 0.66 states/eV/f.u.

---

No. 10
A relaxed structure of ScSb2Te, computed with PBE.

Cell: 4.388 4.190 6.260 Å, 70.64 90.00 90.00°
Element x y z (fractional)
Sb 0.000 0.989 0.114
Sb 0.500 0.423 0.180
Sc 0.000 0.319 0.537
Te 0.500 0.770 0.669

Symmetry: Pm
Formation energy from raw total energies: -0.479 eV per atom
N(E_F): 1.67 states/eV/f.u.

---

No. 11
A relaxed structure of Sc4SbTe, computed with PBE.

Cell: 5.895 5.895 5.895 Å, 60.00 60.00 60.00°
Element x y z (fractional)
Sc 0.877 0.374 0.374
Sc 0.374 0.374 0.877
Sc 0.374 0.877 0.374
Sc 0.374 0.374 0.374
Sb 0.000 0.000 0.000
Te 0.750 0.750 0.750

ΔE to the lowest computed polymorph: 0.4434 eV/atom
Symmetry: F-43m
Formation energy from raw total energies: -0.146 eV per atom
N(E_F): 7.56 states/eV/f.u.

---

No. 12
A relaxed structure of ScSb2Te, computed with PBE.

Cell: 3.916 4.047 7.343 Å, 65.70 90.00 90.00°
Element x y z (fractional)
Sb 0.000 0.913 0.034
Sb 0.000 0.587 0.466
Sc 0.500 0.250 0.250
Te 0.500 0.750 0.750

Symmetry: P2/m
Formation energy from raw total energies: -0.308 eV per atom
N(E_F): 2.56 states/eV/f.u.

---

No. 13
A relaxed structure of Sc2Sb2Te, computed with PBE.

Cell: 8.275 8.275 3.781 Å, 90.00 90.00 90.00°
Element x y z (fractional)
Sc 0.155 0.655 0.500
Sc 0.655 0.845 0.500
Sc 0.845 0.345 0.500
Sc 0.345 0.155 0.500
Sb 0.357 0.857 0.000
Sb 0.857 0.643 0.000
Sb 0.643 0.143 0.000
Sb 0.143 0.357 0.000
Te 0.000 0.000 0.000
Te 0.500 0.500 0.000

ΔE to the lowest computed polymorph: 0.2534 eV/atom
Symmetry: P4/mbm
Formation energy from raw total energies: -0.471 eV per atom
N(E_F): 3.17 states/eV/f.u.

---

No. 14
A relaxed structure of ScSb2Te, computed with PBE.

Cell: 4.225 4.227 5.967 Å, 90.00 90.00 90.00°
Element x y z (fractional)
Sb 0.000 0.000 0.012
Sb 0.000 0.000 0.488
Sc 0.500 0.500 0.250
Te 0.500 0.500 0.750

Symmetry: P4/mmm
Formation energy from raw total energies: -0.298 eV per atom
N(E_F): 1.64 states/eV/f.u.

---

No. 15
A relaxed structure of ScSbTe2, computed with PBE.

Cell: 8.124 8.124 8.124 Å, 151.05 150.66 41.69°
Element x y z (fractional)
Sb 0.502 0.502 0.000
Sc 0.191 0.691 0.500
Te 0.045 0.045 0.000
Te 0.762 0.262 0.500

Symmetry: Imm2
Formation energy from raw total energies: -0.537 eV per atom
N(E_F): 0.66 states/eV/f.u.

---

No. 16
A relaxed structure of ScTiSbTe2, computed with PBE.

Cell: 5.282 5.282 5.318 Å, 90.00 90.00 90.00°
Element x y z (fractional)
Sc 0.500 0.500 0.500
Sb 0.000 0.000 0.500
Te 0.000 0.500 0.000
Te 0.500 0.000 0.000
Ti 0.000 0.000 0.000

ΔE to the lowest computed polymorph: 0.0000 eV/atom
Symmetry: P4/mmm
Formation energy from raw total energies: -0.045 eV per atom
N(E_F): 4.10 states/eV/f.u.

---

No. 17
A relaxed structure of Sc2Tl3SbTe6, computed with PBE.

Cell: 7.535 7.535 8.447 Å, 98.55 98.55 120.05°
Element x y z (fractional)
Sc 0.332 0.668 0.000
Sc 0.668 0.332 0.000
Tl 0.164 0.836 0.500
Tl 0.836 0.164 0.500
Tl 0.500 0.500 0.500
Sb 0.000 0.000 0.000
Te 0.931 0.588 0.795
Te 0.724 0.724 0.204
Te 0.069 0.412 0.205
Te 0.588 0.931 0.795
Te 0.276 0.276 0.796
Te 0.412 0.069 0.205

Symmetry: C2/m
Formation energy from raw total energies: -0.693 eV per atom
N(E_F): 0.08 states/eV/f.u.

---

No. 18
A relaxed structure of ScTlSb2Te, computed with PBE.

Cell: 5.539 5.539 5.640 Å, 90.00 90.00 90.00°
Element x y z (fractional)
Sc 0.000 0.000 0.000
Sb 0.000 0.500 0.000
Sb 0.500 0.000 0.000
Tl 0.500 0.500 0.500
Te 0.000 0.000 0.500

ΔE to the lowest computed polymorph: 0.0000 eV/atom
Symmetry: P4/mmm
Formation energy from raw total energies: -0.103 eV per atom
N(E_F): 4.59 states/eV/f.u.

---

No. 19
A relaxed structure of TmScSbTe, computed with PBE.

Cell: 4.248 4.248 7.370 Å, 73.25 73.25 60.00°
Element x y z (fractional)
Tm 0.603 0.603 0.190
Sc 0.112 0.112 0.665
Sb 0.854 0.854 0.439
Te 0.361 0.361 0.918

Symmetry: R3m
Formation energy from raw total energies: -1.111 eV per atom
N(E_F): 2.04 states/eV/f.u.

---

No. 20
A relaxed structure of ScSbTe2W, computed with PBE.

Cell: 5.358 5.358 5.220 Å, 90.00 90.00 90.00°
Each line ends with the local moment (μB).
Element x y z (fractional)
Sc 0.500 0.500 0.500  0.50
Sb 0.000 0.000 0.500  -0.03
Te 0.000 0.500 0.000  -0.03
Te 0.500 0.000 0.000  -0.03
W 0.000 0.000 0.000  0.52

ΔE to the lowest computed polymorph: 0.0000 eV/atom
Symmetry: P4/mmm
Formation energy from raw total energies: 0.589 eV per atom
N(E_F): 6.39 states/eV/f.u.